Entry 1:
Computed, not measured: a relaxed NaNp2Se4 crystal at the PBE-GGA level of DFT.

Cell and atoms, written as extended XYZ:
```
14
Lattice="-4.109 0.064 -0.293 1.938 -6.752 0.320 -0.992 0.379 13.996" Properties=species:S:1:pos:R:3 pbc="T T T"
Se -2.903 -5.677 10.505
Se -0.663 -2.856 8.674
Se -2.551 0.221 6.852
Se -2.055 0.032 -0.146
Se -2.231 -3.557 1.543
Se -0.933 -2.753 12.480
Se -0.261 -0.633 3.518
Se -2.500 -3.454 5.349
Na -2.824 -1.124 10.388
Na -0.340 -5.185 3.635
Np -0.099 -1.775 1.004
Np -0.459 -1.638 6.087
Np -3.064 -4.534 13.019
Np -2.704 -4.672 7.936
```

Properties
Electronic total energy   -6.998 eV/atom
Spin magnetization   14.0 μB per cell
Crystal system   orthorhombic
Space-group type   No. 63
Energy relative to the lowest polymorph listed for this composition   27 meV per atom
ΔE_f (raw)   -1.1213 eV/atom

***

Entry 2:
Computed, not measured: a relaxed Cd4In9Pb2 crystal at the PBE-GGA level of DFT.

Cell and atoms, written as extended XYZ:
```
15
Lattice="5.444 0.000 0.000 -2.722 4.715 0.000 0.000 0.000 15.843" Properties=species:S:1:pos:R:3 pbc="T T T"
In 0.000 0.000 14.227
In 2.722 1.572 6.926
In 0.000 3.143 8.917
In 0.000 0.000 4.815
In 0.000 0.000 7.921
In 0.000 0.000 11.027
In 0.000 3.143 15.427
In 0.000 0.000 1.615
In 2.722 1.572 0.416
Pb 2.722 1.572 3.668
Pb 0.000 3.143 12.175
Cd 2.722 1.572 10.074
Cd 0.000 3.143 2.708
Cd 2.722 1.572 13.135
Cd 0.000 3.143 5.769
```

Properties
Electronic total energy   -2.332 eV/atom
Spin magnetization   0.0 μB per cell
Formation enthalpy at 0 K   4.77 kJ/mol of atoms
Crystal system   trigonal
Space-group type   No. 164

***

Entry 3:
Computed, not measured: a relaxed Ca2MnCl6 crystal at the PBE-GGA level of DFT.

Cell and atoms, written as extended XYZ:
```
9
Lattice="6.115 0.000 3.417 2.103 5.742 3.417 -0.123 -0.086 7.400" Properties=species:S:1:pos:R:3 pbc="T T T"
Cl 6.912 3.575 7.147
Cl 1.182 2.081 7.087
Cl 3.872 4.519 9.541
Cl 4.223 1.137 4.693
Cl 3.138 5.262 5.697
Cl 4.957 0.395 8.537
Mn 0.000 0.000 0.000
Ca 1.502 1.050 4.492
Ca 6.593 4.607 9.742
```

Properties
Electronic total energy   -4.618 eV/atom
Spin magnetization   5.0 μB per cell
Crystal system   trigonal
Space-group type   No. 148
Energy relative to the lowest polymorph listed for this composition   16 meV per atom
ΔE_f (raw)   -1.9229 eV/atom

***

Entry 4:
Computed, not measured: a relaxed DyTh2Pd2 crystal at the PBE-GGA level of DFT.

Cell and atoms, written as extended XYZ:
```
10
Lattice="3.879 0.000 0.000 0.000 8.102 0.000 0.000 0.000 8.102" Properties=species:S:1:pos:R:3 pbc="T T T"
Dy 0.000 4.051 4.051
Dy 0.000 0.000 0.000
Th 1.939 1.396 5.446
Th 1.939 2.655 1.396
Th 1.939 5.446 6.706
Th 1.939 6.706 2.655
Pd 0.000 3.019 7.070
Pd 0.000 7.070 5.082
Pd 0.000 5.082 1.032
Pd 0.000 1.032 3.019
```

Properties
Electronic total energy   -6.603 eV/atom
Spin magnetization   0.0 μB per cell
Formation enthalpy at 0 K   -61.50 kJ/mol of atoms
Crystal system   tetragonal
Space-group type   No. 127
Energy relative to the lowest polymorph listed for this composition   0 meV per atom

***

Entry 5:
Computed, not measured: a relaxed Pr4Ho2Pb3O2 crystal at the PBE-GGA level of DFT.

Cell and atoms, written as extended XYZ:
```
11
Lattice="4.865 0.000 0.000 0.000 4.865 0.000 -2.432 -2.432 12.913" Properties=species:S:1:pos:R:3 pbc="T T T"
Pr 0.000 2.432 2.191
Pr 2.432 0.000 10.722
Pr 0.000 2.432 10.722
Pr 2.432 0.000 2.191
Ho 0.000 0.000 7.909
Ho 2.432 2.432 5.004
Pb 2.432 2.432 8.205
Pb 0.000 0.000 4.708
Pb 0.000 0.000 0.000
O 0.000 0.000 10.120
O 2.432 2.432 2.793
```

Properties
Electronic total energy   -5.808 eV/atom
Spin magnetization   0.0 μB per cell
Crystal system   tetragonal
Space-group type   No. 139
ΔE_f (raw)   -1.3246 eV/atom

***

Entry 6:
Computed, not measured: a relaxed TiAlCl2 crystal at the PBE-GGA level of DFT.

Cell and atoms, written as extended XYZ:
```
8
Lattice="6.652 0.000 0.000 0.000 6.652 0.000 3.326 3.326 5.472" Properties=species:S:1:pos:R:3 pbc="T T T"
Ti 0.000 0.000 0.000
Ti 6.652 3.326 2.736
Cl 1.077 4.989 1.368
Cl 4.989 4.403 4.104
Cl 5.575 1.663 1.368
Cl 8.315 8.901 4.104
Al 3.326 6.652 2.736
Al 3.326 3.326 0.000
```

Properties
Electronic total energy   -4.061 eV/atom
Spin magnetization   5.8 μB per cell
Crystal system   tetragonal
Space-group type   No. 122
Energy relative to the lowest polymorph listed for this composition   536 meV per atom
ΔE_f (raw)   -0.2284 eV/atom

***

Entry 7:
Computed, not measured: a relaxed CeTm2Th crystal at the PBE-GGA level of DFT.

Cell and atoms, written as extended XYZ:
```
4
Lattice="3.422 0.000 0.000 1.711 2.964 0.000 1.711 0.988 12.165" Properties=species:S:1:pos:R:3 pbc="T T T"
Tm 5.133 2.964 3.286
Tm 1.711 0.988 8.879
Ce 0.000 0.000 0.000
Th 3.422 1.976 6.083
```

Properties
Electronic total energy   -5.398 eV/atom
Spin magnetization   0.8 μB per cell
Formation enthalpy at 0 K   17.03 kJ/mol of atoms
Crystal system   trigonal
Space-group type   No. 166
Energy relative to the lowest polymorph listed for this composition   134 meV per atom

***

Entry 8:
Computed, not measured: a relaxed ZrScP2 crystal at the PBE-GGA level of DFT.

Cell and atoms, written as extended XYZ:
```
8
Lattice="5.299 0.000 0.000 0.000 5.299 0.000 -2.650 -2.650 5.295" Properties=species:S:1:pos:R:3 pbc="T T T"
P 0.000 2.650 0.015
P 0.000 2.650 5.280
P 2.650 2.650 2.633
P 0.000 0.000 2.663
Sc 2.650 2.650 0.000
Sc 0.000 2.650 2.648
Zr 0.000 0.000 0.000
Zr 2.650 0.000 2.648
```

Properties
Electronic total energy   -7.861 eV/atom
Spin magnetization   0.0 μB per cell
Formation enthalpy at 0 K   -138.53 kJ/mol of atoms
Crystal system   tetragonal
Space-group type   No. 141
Energy relative to the lowest polymorph listed for this composition   0 meV per atom

***

Entry 9:
Computed, not measured: a relaxed CaRhAu2 crystal at the PBE-GGA level of DFT.

Cell and atoms, written as extended XYZ:
```
8
Lattice="4.039 0.000 0.000 0.000 4.039 0.000 2.020 2.020 9.981" Properties=species:S:1:pos:R:3 pbc="T T T"
Ca 2.020 2.020 0.000
Ca 2.020 4.039 4.991
Au 5.049 5.113 7.486
Au 3.030 2.966 7.486
Au 0.946 3.030 2.495
Au 3.093 1.010 2.495
Rh 0.000 0.000 0.000
Rh 4.039 2.020 4.991
```

Properties
Electronic total energy   -4.077 eV/atom
Spin magnetization   0.0 μB per cell
Formation enthalpy at 0 K   -9.61 kJ/mol of atoms
Crystal system   tetragonal
Space-group type   No. 122

***

Entry 10:
Computed, not measured: a relaxed AcY6Ho2Er3 crystal at the PBE-GGA level of DFT.

Cell and atoms, written as extended XYZ:
```
12
Lattice="-0.263 -2.381 -5.724 5.411 2.014 2.273 0.433 -10.521 5.476" Properties=species:S:1:pos:R:3 pbc="T T T"
Y 1.612 -7.928 3.214
Y 2.372 -2.036 1.864
Y 5.117 -7.374 2.851
Y 3.209 -8.852 0.162
Y 0.464 -3.514 -0.826
Y 3.969 -2.959 -1.189
Ho 1.629 -0.916 -3.058
Ho 3.519 0.549 -0.393
Er 4.679 -3.981 3.675
Er 0.902 -6.907 -1.650
Er 2.790 -5.444 1.013
Ac 0.000 0.000 0.000
```

Properties
Electronic total energy   -5.443 eV/atom
Spin magnetization   0.0 μB per cell
Formation enthalpy at 0 K   3.43 kJ/mol of atoms
Crystal system   monoclinic
Space-group type   No. 12

***

Entry 11:
Computed, not measured: a relaxed CaNbV2 crystal at the PBE-GGA level of DFT.

Cell and atoms, written as extended XYZ:
```
4
Lattice="0.000 3.344 3.344 3.344 0.000 3.344 3.344 3.344 0.000" Properties=species:S:1:pos:R:3 pbc="T T T"
V 1.672 1.672 1.672
V 5.017 5.017 5.017
Nb 3.344 3.344 3.344
Ca 0.000 0.000 0.000
```

Properties
Electronic total energy   -6.851 eV/atom
Spin magnetization   3.5 μB per cell
Formation enthalpy at 0 K   70.09 kJ/mol of atoms
Crystal system   cubic
Space-group type   No. 225
Energy relative to the lowest polymorph listed for this composition   0 meV per atom

***

Entry 12:
Computed, not measured: a relaxed PmHo2Tm6Sc3 crystal at the PBE-GGA level of DFT.

Cell and atoms, written as extended XYZ:
```
12
Lattice="5.994 0.001 0.015 -2.995 5.192 0.015 -1.025 -1.775 11.209" Properties=species:S:1:pos:R:3 pbc="T T T"
Sc -2.007 3.438 5.619
Sc 0.987 1.709 5.619
Sc 3.980 -0.020 5.619
Tm 2.979 1.696 8.324
Tm -1.005 1.722 2.915
Tm -0.020 3.428 8.324
Tm 1.992 3.449 2.931
Tm 1.993 -0.010 2.915
Tm -0.019 -0.032 8.307
Pm 0.000 0.000 0.000
Ho 2.997 1.732 0.015
Ho 0.002 3.461 0.015
```

Properties
Electronic total energy   -4.933 eV/atom
Spin magnetization   0.0 μB per cell
Formation enthalpy at 0 K   4.28 kJ/mol of atoms
Crystal system   monoclinic
Space-group type   No. 12